[1]
An optimized crystal structure of CsEu3Rh, computed with PBE.

Electronic total energy in eV for the cell shown: -39.44
DFT formation energy in eV per atom: -0.08

abc: 5.8891 5.8891 5.8891
angles: 90.00 90.00 90.00
Space group Pm-3m (No. 221)
Asymmetric unit:
1 Cs 0.0000 0.0000 0.0000 [1 per cell]
2 Eu 0.0000 0.5000 0.5000 [3 per cell]
3 Rh 0.5000 0.5000 0.5000 [1 per cell]

***

[2]
An optimized crystal structure of CsEu2Rh, computed with PBE.

Electronic total energy in eV for the cell shown: -87.24
DFT formation energy in eV per atom: -0.08

abc: 4.2914 4.2914 34.3885
angles: 90.00 90.00 120.00
Space group R-3m (No. 166, hexagonal axes)
Asymmetric unit:
1 Cs 0.0000 0.0000 0.0000 [3 per cell]
2 Eu 0.0000 0.0000 0.1234 [6 per cell]
3 Rh 0.0000 0.0000 0.5000 [3 per cell]

***

[3]
An optimized crystal structure of CsEu3Ru, computed with PBE.

Electronic total energy in eV for the cell shown: -40.03
DFT formation energy in eV per atom: 0.18

abc: 5.7961 5.7961 5.7961
angles: 90.00 90.00 90.00
Space group Pm-3m (No. 221)
Asymmetric unit:
1 Cs 0.0000 0.0000 0.0000 [1 per cell]
2 Eu 0.0000 0.5000 0.5000 [3 per cell]
3 Ru 0.5000 0.5000 0.5000 [1 per cell]

***

[4]
An optimized crystal structure of CsEuS2, computed with PBE.

Electronic total energy in eV for the cell shown: -76.25
E_form (uncorrected) in eV/atom: -1.509

abc: 4.2686 4.2686 24.0297
angles: 90.00 90.00 120.00
Space group R-3m (No. 166, hexagonal axes)
Asymmetric unit:
1 Cs 0.0000 0.0000 0.0000 [3 per cell]
2 Eu 0.0000 0.0000 0.5000 [3 per cell]
3 S 0.0000 0.0000 0.2279 [6 per cell]

***

[5]
An optimized crystal structure of CsEuS, computed with PBE.

Electronic total energy in eV for the cell shown: -18.66
E_form (uncorrected) in eV/atom: -1.136

abc: 4.4490 4.4490 8.2177
angles: 90.00 90.00 120.00
Space group P3m1 (No. 156)
Asymmetric unit:
1 Cs 0.0000 0.0000 0.0000 [1 per cell]
2 Eu 0.3333 0.6667 0.5499 [1 per cell]
3 S 0.6667 0.3333 0.7020 [1 per cell]

***

[6]
An optimized crystal structure of CsEuS2, computed with PBE.

Electronic total energy in eV for the cell shown: -50.85
E_form (uncorrected) in eV/atom: -1.510

abc: 4.2645 4.2645 16.0160
angles: 90.00 90.00 120.00
Space group P6_3/mmc (No. 194)
Asymmetric unit:
1 Cs 0.3333 0.6667 0.2500 [2 per cell]
2 Eu 0.0000 0.0000 0.0000 [2 per cell]
3 S 0.3333 0.6667 0.5920 [4 per cell]

***

> electronic total energy of number 6 (CsEuS2)?

-50.85 eV for the cell shown

***

> What is the electronic total energy in the third record?

-40.03 eV for the cell shown